Record 1
The following is a DFT calculation (SCAN) of a PBEsol-optimized structure of Si2TeBr.

Unit cell a=4.964 b=4.964 c=4.964 alpha=110.73 beta=110.73 gamma=106.99
Fractional coordinates of all 4 atoms:
Si: 0.000 0.500 0.500
Si: 0.500 0.000 0.500
Te: 0.000 0.000 0.000
Br: 0.500 0.500 0.000

Properties
Space-group type ... I4/mmm (139)
Energy relative to the lowest polymorph listed for this composition ... 29.0 kJ/mol of formula units
Crystal system ... tetragonal
D(E_F) ... 0.44 states/eV/atom

---

Record 2
The following is a DFT calculation (SCAN) of a PBEsol-optimized structure of SiTe2Br.

Unit cell a=5.759 b=5.759 c=5.494 alpha=104.85 beta=104.85 gamma=36.69
Fractional coordinates of all 4 atoms:
Si: 0.000 0.000 0.000
Te: 0.311 0.311 0.832
Te: 0.689 0.689 0.168
Br: 0.500 0.500 0.500

Properties
Space-group type ... C2/m (12)
Energy relative to the lowest polymorph listed for this composition ... 30.0 kJ/mol of formula units
Crystal system ... monoclinic
D(E_F) ... 0.42 states/eV/atom

---

Record 3
The following is a DFT calculation (SCAN) of a PBEsol-optimized structure of YSiTe2Br.

Unit cell a=5.391 b=5.391 c=4.930 alpha=90.00 beta=90.00 gamma=90.00
Fractional coordinates of all 5 atoms:
Y: 0.000 0.000 0.000
Si: 0.500 0.500 0.000
Te: 0.000 0.500 0.500
Te: 0.500 0.000 0.500
Br: 0.500 0.500 0.500

Properties
Space-group type ... P4/mmm (123)
Crystal system ... tetragonal
D(E_F) ... 0.40 states/eV/atom

---

Record 4
The following is a DFT calculation (SCAN) of a PBEsol-optimized structure of TiSi2Br2.

Unit cell a=6.660 b=6.660 c=4.990 alpha=90.00 beta=90.00 gamma=90.00
Fractional coordinates of all 10 atoms:
Ti: 0.000 0.000 0.000
Ti: 0.500 0.500 0.000
Si: 0.128 0.372 0.000
Si: 0.372 0.872 0.000
Si: 0.628 0.128 0.000
Si: 0.872 0.628 0.000
Br: 0.194 0.306 0.500
Br: 0.306 0.806 0.500
Br: 0.694 0.194 0.500
Br: 0.806 0.694 0.500

Properties
Space-group type ... P4/mbm (127)
Crystal system ... tetragonal
D(E_F) ... 0.76 states/eV/atom

---

Record 5
The following is a DFT calculation (SCAN) of a PBEsol-optimized structure of TlSi2Br.

Unit cell a=6.162 b=6.098 c=4.139 alpha=71.11 beta=69.43 gamma=39.46
Fractional coordinates of all 4 atoms:
Tl: 0.000 0.000 0.000
Si: 0.000 0.500 0.500
Si: 0.500 0.000 0.000
Br: 0.500 0.500 0.500

Properties
Space-group type ... Fmmm (69)
Energy relative to the lowest polymorph listed for this composition ... 0.0 kJ/mol of formula units
Crystal system ... orthorhombic
D(E_F) ... 0.56 states/eV/atom

---

Record 6
The following is a DFT calculation (SCAN) of a PBEsol-optimized structure of TlSiBr.

Unit cell a=3.390 b=3.390 c=7.194 alpha=90.00 beta=90.00 gamma=120.00
Fractional coordinates of all 3 atoms:
Tl: 0.000 0.000 0.000
Si: 0.667 0.333 0.328
Br: 0.333 0.667 0.591

Properties
Space-group type ... P3m1 (156)
Energy relative to the lowest polymorph listed for this composition ... 0.0 kJ/mol of formula units
Crystal system ... trigonal
D(E_F) ... 0.45 states/eV/atom

---

Record 7
The following is a DFT calculation (SCAN) of a PBEsol-optimized structure of TlSiBr.

Unit cell a=4.964 b=4.964 c=4.964 alpha=60.00 beta=60.00 gamma=60.00
Fractional coordinates of all 3 atoms:
Tl: 0.000 0.000 0.000
Si: 0.250 0.250 0.250
Br: 0.750 0.750 0.750

Properties
Space-group type ... F-43m (216)
Energy relative to the lowest polymorph listed for this composition ... 105.7 kJ/mol of formula units
Crystal system ... cubic
D(E_F) ... 1.17 states/eV/atom

---

Record 8
The following is a DFT calculation (SCAN) of a PBEsol-optimized structure of TlSi2Br.

Unit cell a=3.190 b=3.190 c=9.488 alpha=90.00 beta=90.00 gamma=118.39
Fractional coordinates of all 4 atoms:
Tl: 0.000 0.000 0.000
Si: 0.500 0.500 0.267
Si: 0.500 0.500 0.733
Br: 0.000 0.000 0.500

Properties
Space-group type ... Cmmm (65)
Energy relative to the lowest polymorph listed for this composition ... 42.5 kJ/mol of formula units
Crystal system ... orthorhombic
D(E_F) ... 0.43 states/eV/atom

---

Record 9
The following is a DFT calculation (SCAN) of a PBEsol-optimized structure of TlSiBr2.

Unit cell a=3.492 b=3.979 c=7.751 alpha=90.00 beta=90.00 gamma=90.00
Fractional coordinates of all 4 atoms:
Tl: 0.000 0.000 0.000
Si: 0.500 0.000 0.500
Br: 0.500 0.500 0.260
Br: 0.500 0.500 0.740

Properties
Space-group type ... Pmmm (47)
Energy relative to the lowest polymorph listed for this composition ... 0.0 kJ/mol of formula units
Crystal system ... orthorhombic
D(E_F) ... 0.20 states/eV/atom

---

Record 10
The following is a DFT calculation (SCAN) of a PBEsol-optimized structure of TlSiBr2.

Unit cell a=9.305 b=9.305 c=9.305 alpha=22.71 beta=22.71 gamma=22.71
Fractional coordinates of all 4 atoms:
Tl: 0.000 0.000 0.000
Si: 0.500 0.500 0.500
Br: 0.234 0.234 0.234
Br: 0.766 0.766 0.766

Properties
Space-group type ... R-3m (166)
Energy relative to the lowest polymorph listed for this composition ... 41.0 kJ/mol of formula units
Crystal system ... trigonal
D(E_F) ... 0.22 states/eV/atom

---

Record 11
The following is a DFT calculation (SCAN) of a PBEsol-optimized structure of SiWBr3.

Unit cell a=5.104 b=5.104 c=5.104 alpha=90.00 beta=90.00 gamma=90.00
Fractional coordinates of all 5 atoms:
Si: 0.000 0.000 0.000
W: 0.500 0.500 0.500
Br: 0.000 0.000 0.500
Br: 0.000 0.500 0.000
Br: 0.500 0.000 0.000

Properties
Space-group type ... Pm-3m (221)
Crystal system ... cubic
D(E_F) ... 1.36 states/eV/atom

---

Record 12
The following is a DFT calculation (SCAN) of a PBEsol-optimized structure of Si2WBr.

Unit cell a=6.993 b=6.993 c=6.993 alpha=129.49 beta=129.49 gamma=74.22
Fractional coordinates of all 8 atoms:
Si: 0.075 0.625 0.950
Si: 0.375 0.325 0.450
Si: 0.675 0.125 0.050
Si: 0.875 0.925 0.550
W: 0.000 0.000 0.000
W: 0.750 0.250 0.500
Br: 0.250 0.750 0.500
Br: 0.500 0.500 0.000

Properties
Space-group type ... I-42d (122)
Energy relative to the lowest polymorph listed for this composition ... 0.0 kJ/mol of formula units
Crystal system ... tetragonal
D(E_F) ... 0.68 states/eV/atom

---

Record 13
The following is a DFT calculation (SCAN) of a PBEsol-optimized structure of Si2WBr.

Unit cell a=4.438 b=4.438 c=4.438 alpha=60.00 beta=60.00 gamma=60.00
Fractional coordinates of all 4 atoms:
Si: 0.000 0.000 0.000
Si: 0.250 0.250 0.250
W: 0.500 0.500 0.500
Br: 0.750 0.750 0.750

Properties
Space-group type ... F-43m (216)
Energy relative to the lowest polymorph listed for this composition ... 33.1 kJ/mol of formula units
Crystal system ... cubic
D(E_F) ... 0.64 states/eV/atom

---

Record 14
The following is a DFT calculation (SCAN) of a PBEsol-optimized structure of SiW2Br.

Unit cell a=4.752 b=4.752 c=4.752 alpha=129.14 beta=129.14 gamma=74.79
Fractional coordinates of all 4 atoms:
Si: 0.000 0.000 0.000
W: 0.500 0.500 0.000
W: 0.750 0.250 0.500
Br: 0.250 0.750 0.500

Properties
Space-group type ... I-4m2 (119)
Energy relative to the lowest polymorph listed for this composition ... 72.1 kJ/mol of formula units
Crystal system ... tetragonal
D(E_F) ... 0.61 states/eV/atom

---

Record 15
The following is a DFT calculation (SCAN) of a PBEsol-optimized structure of SiW2Br.

Unit cell a=2.874 b=2.874 c=8.425 alpha=90.00 beta=90.00 gamma=112.29
Fractional coordinates of all 4 atoms:
Si: 0.000 0.000 0.000
W: 0.500 0.500 0.224
W: 0.500 0.500 0.776
Br: 0.000 0.000 0.500

Properties
Space-group type ... Cmmm (65)
Energy relative to the lowest polymorph listed for this composition ... 0.0 kJ/mol of formula units
Crystal system ... orthorhombic
D(E_F) ... 0.81 states/eV/atom

---

Record 16
The following is a DFT calculation (SCAN) of a PBEsol-optimized structure of Zn2SiBr.

Unit cell a=4.718 b=4.718 c=4.718 alpha=60.00 beta=60.00 gamma=60.00
Fractional coordinates of all 4 atoms:
Zn: 0.000 0.000 0.000
Zn: 0.250 0.250 0.250
Si: 0.750 0.750 0.750
Br: 0.500 0.500 0.500

Properties
Space-group type ... F-43m (216)
Energy relative to the lowest polymorph listed for this composition ... 257.1 kJ/mol of formula units
Crystal system ... cubic
D(E_F) ... 0.56 states/eV/atom

---

Record 17
The following is a DFT calculation (SCAN) of a PBEsol-optimized structure of ZnSiBr.

Unit cell a=5.925 b=5.923 c=3.577 alpha=72.47 beta=72.39 gamma=35.14
Fractional coordinates of all 3 atoms:
Zn: 0.000 0.000 0.000
Si: 0.528 0.528 0.472
Br: 0.745 0.745 0.255

Properties
Space-group type ... Fmm2 (42)
Crystal system ... orthorhombic
D(E_F) ... 0.20 states/eV/atom

---

Record 18
The following is a DFT calculation (SCAN) of a PBEsol-optimized structure of Zn2SiBr.

Unit cell a=7.121 b=7.121 c=7.121 alpha=29.01 beta=29.01 gamma=29.01
Fractional coordinates of all 4 atoms:
Zn: 0.238 0.238 0.238
Zn: 0.762 0.762 0.762
Si: 0.500 0.500 0.500
Br: 0.000 0.000 0.000

Properties
Space-group type ... R-3m (166)
Energy relative to the lowest polymorph listed for this composition ... 0.0 kJ/mol of formula units
Crystal system ... trigonal
D(E_F) ... 0.22 states/eV/atom

---

Record 19
The following is a DFT calculation (SCAN) of a PBEsol-optimized structure of ZrSiBr2.

Unit cell a=5.657 b=5.657 c=3.326 alpha=106.34 beta=106.34 gamma=113.81
Fractional coordinates of all 4 atoms:
Zr: 0.000 0.000 0.000
Si: 0.500 0.500 0.000
Br: 0.000 0.500 0.000
Br: 0.500 0.000 0.000

Properties
Space-group type ... C2/m (12)
Energy relative to the lowest polymorph listed for this composition ... 77.6 kJ/mol of formula units
Crystal system ... monoclinic
D(E_F) ... 0.29 states/eV/atom

---

Record 20
The following is a DFT calculation (SCAN) of a PBEsol-optimized structure of ZrSiBr2.

Unit cell a=4.883 b=4.883 c=3.300 alpha=90.00 beta=90.00 gamma=90.10
Fractional coordinates of all 4 atoms:
Zr: 0.000 0.000 0.000
Si: 0.500 0.500 0.000
Br: 0.000 0.500 0.500
Br: 0.500 0.000 0.500

Properties
Space-group type ... Cmmm (65)
Energy relative to the lowest polymorph listed for this composition ... 212.1 kJ/mol of formula units
Crystal system ... orthorhombic
D(E_F) ... 0.69 states/eV/atom

---

Record 21
The following is a DFT calculation (SCAN) of a PBEsol-optimized structure of ZrSiBr2.

Unit cell a=9.492 b=9.492 c=9.492 alpha=19.99 beta=19.99 gamma=19.99
Fractional coordinates of all 4 atoms:
Zr: 0.000 0.000 0.000
Si: 0.500 0.500 0.500
Br: 0.263 0.263 0.263
Br: 0.737 0.737 0.737

Properties
Space-group type ... R-3m (166)
Energy relative to the lowest polymorph listed for this composition ... 0.0 kJ/mol of formula units
Crystal system ... trigonal
D(E_F) ... 0.41 states/eV/atom

---

Record 22
The following is a DFT calculation (SCAN) of a PBEsol-optimized structure of ZrSiBr3.

Unit cell a=5.096 b=5.096 c=5.096 alpha=90.00 beta=90.00 gamma=90.00
Fractional coordinates of all 5 atoms:
Zr: 0.000 0.000 0.000
Si: 0.500 0.500 0.500
Br: 0.000 0.500 0.500
Br: 0.500 0.000 0.500
Br: 0.500 0.500 0.000

Properties
Space-group type ... Pm-3m (221)
Crystal system ... cubic
D(E_F) ... 0.65 states/eV/atom

---

Record 23
The following is a DFT calculation (SCAN) of a PBEsol-optimized structure of Zr3SiBr.

Unit cell a=4.974 b=4.974 c=4.974 alpha=90.00 beta=90.00 gamma=90.00
Fractional coordinates of all 5 atoms:
Zr: 0.000 0.000 0.500
Zr: 0.000 0.500 0.000
Zr: 0.500 0.000 0.000
Si: 0.000 0.000 0.000
Br: 0.500 0.500 0.500

Properties
Space-group type ... Pm-3m (221)
Energy relative to the lowest polymorph listed for this composition ... 0.0 kJ/mol of formula units
Crystal system ... cubic
D(E_F) ... 1.75 states/eV/atom

---

Record 24
The following is a DFT calculation (SCAN) of a PBEsol-optimized structure of Sr3SnBr.

Unit cell a=6.281 b=6.281 c=6.281 alpha=90.00 beta=90.00 gamma=90.00
Fractional coordinates of all 5 atoms:
Sr: 0.000 0.000 0.500
Sr: 0.000 0.500 0.000
Sr: 0.500 0.000 0.000
Sn: 0.000 0.000 0.000
Br: 0.500 0.500 0.500

Properties
Space-group type ... Pm-3m (221)
Crystal system ... cubic
D(E_F) ... 0.44 states/eV/atom

---

Record 25
The following is a DFT calculation (SCAN) of a PBEsol-optimized structure of SrZnSnBr2.

Unit cell a=5.705 b=5.705 c=5.252 alpha=90.00 beta=90.00 gamma=90.00
Fractional coordinates of all 5 atoms:
Sr: 0.000 0.000 0.000
Zn: 0.500 0.500 0.000
Sn: 0.500 0.500 0.500
Br: 0.000 0.500 0.500
Br: 0.500 0.000 0.500

Properties
Space-group type ... P4/mmm (123)
Crystal system ... tetragonal
D(E_F) ... 0.49 states/eV/atom

---

Record 26
The following is a DFT calculation (SCAN) of a PBEsol-optimized structure of SrZrSnBr2.

Unit cell a=5.659 b=5.659 c=5.752 alpha=90.00 beta=90.00 gamma=90.00
Fractional coordinates of all 5 atoms:
Sr: 0.000 0.000 0.000
Zr: 0.500 0.500 0.000
Sn: 0.500 0.500 0.500
Br: 0.000 0.500 0.500
Br: 0.500 0.000 0.500

Properties
Space-group type ... P4/mmm (123)
Crystal system ... tetragonal
D(E_F) ... 0.73 states/eV/atom

---

Record 27
The following is a DFT calculation (SCAN) of a PBEsol-optimized structure of TcSn3Br.

Unit cell a=5.110 b=5.110 c=5.110 alpha=90.00 beta=90.00 gamma=90.00
Fractional coordinates of all 5 atoms:
Tc: 0.000 0.000 0.000
Sn: 0.000 0.000 0.500
Sn: 0.000 0.500 0.000
Sn: 0.500 0.000 0.000
Br: 0.500 0.500 0.500

Properties
Space-group type ... Pm-3m (221)
Crystal system ... cubic

---

Record 28
The following is a DFT calculation (SCAN) of a PBEsol-optimized structure of SnTeBr3.

Unit cell a=5.566 b=5.566 c=5.566 alpha=90.00 beta=90.00 gamma=90.00
Fractional coordinates of all 5 atoms:
Sn: 0.000 0.000 0.000
Te: 0.500 0.500 0.500
Br: 0.000 0.000 0.500
Br: 0.000 0.500 0.000
Br: 0.500 0.000 0.000

Properties
Space-group type ... Pm-3m (221)
Crystal system ... cubic
D(E_F) ... 0.55 states/eV/atom

---

Record 29
The following is a DFT calculation (SCAN) of a PBEsol-optimized structure of ZnSn2TeBr.

Unit cell a=5.540 b=5.540 c=5.479 alpha=90.00 beta=90.00 gamma=90.00
Fractional coordinates of all 5 atoms:
Zn: 0.000 0.000 0.000
Sn: 0.000 0.500 0.500
Sn: 0.500 0.000 0.500
Te: 0.500 0.500 0.000
Br: 0.500 0.500 0.500

Properties
Space-group type ... P4/mmm (123)
Crystal system ... tetragonal
D(E_F) ... 0.69 states/eV/atom

---

Record 30
The following is a DFT calculation (SCAN) of a PBEsol-optimized structure of TiSnBr3.

Unit cell a=5.113 b=5.113 c=5.113 alpha=90.00 beta=90.00 gamma=90.00
Fractional coordinates of all 5 atoms:
Ti: 0.000 0.000 0.000
Sn: 0.500 0.500 0.500
Br: 0.000 0.000 0.500
Br: 0.000 0.500 0.000
Br: 0.500 0.000 0.000

Properties
Space-group type ... Pm-3m (221)
Crystal system ... cubic
D(E_F) ... 0.98 states/eV/atom

---

Magnetization: 0.000 0.000 0.000 0.670 0.000 0.000 0.000 0.000 0.000 0.000 5.195 0.000 0.000 0.000 0.000 0.000 0.000 0.000 0.000 0.000 0.000 2.886 0.003 0.000 0.000 2.010 0.000 2.632 0.000 2.999 (μB per formula unit)
E: -0.6817 -0.9466 -0.9526 -0.5417 -1.0035 -1.2346 -1.2211 -0.9995 -1.1195 -1.1156 -0.9712 -0.9641 -0.9609 -1.5085 -1.5154 -0.4924 -0.5238 -0.5169 -0.7341 -0.7213 -0.7415 -0.7173 -0.8791 -0.9213 -0.8296 -0.9371 -1.2017 -0.9713 -1.0116 -0.8317 (hartree per atom)
Formation energy (no corrections): 0.64 0.24 0.44 0.25 0.65 0.35 0.72 0.77 -0.14 -0.03 1.19 1.06 1.15 1.16 0.98 0.73 0.08 0.06 -0.07 0.28 -0.27 0.30 0.39 -0.63 -0.45 0.06 -0.24 -0.12 0.89 -0.57 (eV/atom)